{"formula": "Tb5Tl3", "functional": "GGA-PBE", "state": "relaxed", "magnetic_moment_mub_per_cell": 0.00, "dos_ef_per_ev_atom": 0.81, "energy_ev_per_atom": -4.092, "space_group": "I4/mcm (140)", "de_polymorph_ev_per_atom": 0.000, "cell": [[5.500, -6.981, 2.372], [0.284, 8.984, -1.956], [-4.141, 0.862, 8.169]], "species": ["Tb", "Tb", "Tb", "Tb", "Tb", "Tb", "Tb", "Tb", "Tb", "Tb", "Tl", "Tl", "Tl", "Tl", "Tl", "Tl"], "fractional_positions": [[0.583, 0.719, 0.302], [0.250, 0.750, 0.500], [0.719, 0.417, 0.136], [0.219, 0.083, 0.302], [0.417, 0.281, 0.698], [0.281, 0.583, 0.864], [0.781, 0.917, 0.698], [0.083, 0.781, 0.864], [0.917, 0.219, 0.136], [0.750, 0.250, 0.500], [0.250, 0.250, 0.000], [0.338, 0.838, 0.177], [0.750, 0.750, 0.000], [0.838, 0.662, 0.500], [0.662, 0.162, 0.823], [0.162, 0.338, 0.500]]}